Entry 1:
Here is a relaxed FeTcSe3 crystal from Alexandria via LeMat-Bulk. Energies are from GGA-PBE.

It has space group Pm-3m (No. 221), with a = 4.569 Å, b = 4.569 Å, c = 4.569 Å, α = 90.00°, β = 90.00° and γ = 90.00°. Symmetry generates all atoms from Fe at (0.000, 0.000, 0.000), Tc at (0.500, 0.500, 0.500) and Se at (0.000, 0.000, 0.500).

For the uncorrected formation energy, the calculation gives 87.83 kJ per mole of atoms. As for the relative energy among the computed polymorphs: 0.0000 eV per atom.



Entry 2:
Here is a relaxed AgOsW crystal from Alexandria via LeMat-Bulk. Energies are from GGA-PBE.

It has space group P3m1 (No. 156), with a = 2.8015 Å, b = 2.8015 Å, c = 7.1085 Å, α = 90.00°, β = 90.00° and γ = 120.00°. Symmetry generates all atoms from Ag at (0.0000, 0.0000, 0.0000), Os at (0.3333, 0.6667, 0.3498) and W at (0.6667, 0.3333, 0.6463).

The formation energy is 0.3659 eV/atom. As for the relative energy among the computed polymorphs: 0.0000 eV per atom.



Entry 3:
Here is a relaxed FeNiMo2 crystal from Alexandria via LeMat-Bulk. Energies are from GGA-PBE.

It has space group Cmmm (No. 65), with a = 3.322 Å, b = 4.032 Å, c = 8.120 Å, α = 90.00°, β = 90.00° and γ = 90.00°. Symmetry generates all atoms from Fe at (0.000, 0.000, 0.000), Ni at (0.000, 0.000, 0.500) and Mo at (0.000, 0.500, 0.255).

The formation energy is 0.0927 eV/atom. As for the relative energy among the computed polymorphs: 0.0413 eV per atom.



Entry 4:
Here is a relaxed AcPr2Se5 crystal from Alexandria via LeMat-Bulk. Energies are from GGA-PBE.

It has space group I4/mcm (No. 140), with a = 7.998 Å, b = 7.998 Å, c = 13.578 Å, α = 90.00°, β = 90.00° and γ = 90.00°. Symmetry generates all atoms from Ac at (0.000, 0.000, 0.250), Pr at (0.156, 0.344, 0.000), Se at (0.000, 0.000, 0.000) and Se at (0.152, 0.348, 0.354).

For the uncorrected formation energy, the calculation gives -167.99 kJ per mole of atoms.



Entry 5:
Here is a relaxed NbBr3Cl crystal from Alexandria via LeMat-Bulk. Energies are from GGA-PBE.

It has space group Pnma (No. 62), with a = 8.511 Å, b = 3.343 Å, c = 23.128 Å, α = 90.00°, β = 90.00° and γ = 90.00°. Symmetry generates all atoms from Nb at (0.232, 0.250, 0.121), Br at (0.021, 0.250, 0.364), Br at (0.022, 0.250, 0.893), Br at (0.229, 0.750, 0.211) and Cl at (0.203, 0.250, 0.541).

For the uncorrected formation energy, the calculation gives -81.50 kJ per mole of atoms. As for the relative energy among the computed polymorphs: 0.0450 eV per atom.



Entry 6:
Here is a relaxed NaSnPt crystal from Alexandria via LeMat-Bulk. Energies are from GGA-PBE.

It has space group F-43m (No. 216), with a = 6.483 Å, b = 6.483 Å, c = 6.483 Å, α = 90.00°, β = 90.00° and γ = 90.00°. Symmetry generates all atoms from Na at (0.000, 0.000, 0.000), Sn at (0.000, 0.000, 0.500) and Pt at (0.250, 0.250, 0.250).

The formation energy is -0.3175 eV/atom.



Entry 7:
Here is a relaxed Rb2CoAsI6 crystal from Alexandria via LeMat-Bulk. Energies are from GGA-PBE.

It has space group I4/mmm (No. 139), with a = 8.108 Å, b = 8.108 Å, c = 11.482 Å, α = 90.00°, β = 90.00° and γ = 90.00°. Symmetry generates all atoms from Rb at (0.000, 0.500, 0.250), Co at (0.000, 0.000, 0.000), As at (0.000, 0.000, 0.500), I at (0.000, 0.000, 0.243) and I at (0.244, 0.244, 0.000).

For the uncorrected formation energy, the calculation gives -51.37 kJ per mole of atoms.



Entry 8:
Here is a relaxed BaHfSe2 crystal from Alexandria via LeMat-Bulk. Energies are from GGA-PBE.

It has space group I-42d (No. 122), with a = 6.683 Å, b = 6.683 Å, c = 12.857 Å, α = 90.00°, β = 90.00° and γ = 90.00°. Symmetry generates all atoms from Ba at (0.000, 0.000, 0.000), Hf at (0.000, 0.000, 0.500) and Se at (0.171, 0.250, 0.625).

For the uncorrected formation energy, the calculation gives -98.19 kJ per mole of atoms. As for the relative energy among the computed polymorphs: 0.0487 eV per atom.



Entry 9:
Here is a relaxed LaTi2CoSe crystal from Alexandria via LeMat-Bulk. Energies are from GGA-PBE.

It has space group P4/mmm (No. 123), with a = 4.826 Å, b = 4.826 Å, c = 4.471 Å, α = 90.00°, β = 90.00° and γ = 90.00°. Symmetry generates all atoms from La at (0.000, 0.000, 0.000), Ti at (0.000, 0.500, 0.500), Co at (0.500, 0.500, 0.000) and Se at (0.500, 0.500, 0.500).

For the uncorrected formation energy, the calculation gives 4.90 kJ per mole of atoms.



Entry 10:
Here is a relaxed NdSn4Rh2 crystal from Alexandria via LeMat-Bulk. Energies are from GGA-PBE.

It has space group Pnma (No. 62), with a = 18.647 Å, b = 4.526 Å, c = 7.229 Å, α = 90.00°, β = 90.00° and γ = 90.00°. Symmetry generates all atoms from Nd at (0.142, 0.250, 0.001), Sn at (0.032, 0.750, 0.866), Sn at (0.068, 0.250, 0.479), Sn at (0.182, 0.750, 0.301), Sn at (0.195, 0.750, 0.722), Rh at (0.035, 0.750, 0.251) and Rh at (0.213, 0.250, 0.517).

The formation energy is -0.6368 eV/atom. As for the relative energy among the computed polymorphs: 0.0000 eV per atom.



Entry 11:
Here is a relaxed GeTe2IN crystal from Alexandria via LeMat-Bulk. Energies are from GGA-PBE.

It has space group P4/mmm (No. 123), with a = 4.937 Å, b = 4.937 Å, c = 4.804 Å, α = 90.00°, β = 90.00° and γ = 90.00°. Symmetry generates all atoms from Ge at (0.000, 0.000, 0.000), Te at (0.000, 0.500, 0.500), I at (0.500, 0.500, 0.000) and N at (0.500, 0.500, 0.500).

For the uncorrected formation energy, the calculation gives 79.85 kJ per mole of atoms. As for the relative energy among the computed polymorphs: 0.1022 eV per atom.



Entry 12:
Here is a relaxed ZnCd3N crystal from Alexandria via LeMat-Bulk. Energies are from GGA-PBE.

It has space group Pm-3m (No. 221), with a = 4.640 Å, b = 4.640 Å, c = 4.640 Å, α = 90.00°, β = 90.00° and γ = 90.00°. Symmetry generates all atoms from Zn at (0.000, 0.000, 0.000), Cd at (0.000, 0.500, 0.500) and N at (0.500, 0.500, 0.500).

For the uncorrected formation energy, the calculation gives 49.60 kJ per mole of atoms. As for the relative energy among the computed polymorphs: 0.0000 eV per atom.



Entry 13:
Here is a relaxed LiOs2Ru2 crystal from Alexandria via LeMat-Bulk. Energies are from GGA-PBE.

It has space group I4/mmm (No. 139), with a = 3.852 Å, b = 3.852 Å, c = 11.245 Å, α = 90.00°, β = 90.00° and γ = 90.00°. Symmetry generates all atoms from Li at (0.000, 0.000, 0.000), Os at (0.000, 0.500, 0.250) and Ru at (0.000, 0.000, 0.397).

The formation energy is 0.5728 eV/atom. As for the relative energy among the computed polymorphs: 0.3387 eV per atom.



Entry 14:
Here is a relaxed K2YSe crystal from Alexandria via LeMat-Bulk. Energies are from GGA-PBE.

It has space group C2/m (No. 12), with a = 22.003 Å, b = 3.923 Å, c = 4.159 Å, α = 90.00°, β = 100.68° and γ = 90.00°. Symmetry generates all atoms from K at (0.161, 0.000, 0.157), Y at (0.000, 0.000, 0.500) and Se at (0.000, 0.500, 0.000).

For the uncorrected formation energy, the calculation gives -59.55 kJ per mole of atoms.



Entry 15:
Here is a relaxed LaIrRu crystal from Alexandria via LeMat-Bulk. Energies are from GGA-PBE.

It has space group I4mm (No. 107), with a = 3.016 Å, b = 3.016 Å, c = 12.774 Å, α = 90.00°, β = 90.00° and γ = 90.00°. Symmetry generates all atoms from La at (0.000, 0.000, 0.000), Ir at (0.000, 0.000, 0.692) and Ru at (0.000, 0.000, 0.309).

The formation energy is 0.1084 eV/atom. As for the relative energy among the computed polymorphs: 0.3620 eV per atom.



Entry 16:
Here is a relaxed ScPbN2 crystal from Alexandria via LeMat-Bulk. Energies are from GGA-PBE.

It has space group R-3m (No. 166, hexagonal axes), with a = 3.4335 Å, b = 3.4335 Å, c = 19.0267 Å, α = 90.00°, β = 90.00° and γ = 120.00°. Symmetry generates all atoms from Sc at (0.0000, 0.0000, 0.0000), Pb at (0.0000, 0.0000, 0.5000) and N at (0.0000, 0.0000, 0.3882).

For the uncorrected formation energy, the calculation gives -13.81 kJ per mole of atoms.



Entry 17:
Here is a relaxed Zr2MnP crystal from Alexandria via LeMat-Bulk. Energies are from GGA-PBE.

It has space group P4mm (No. 99), with a = 3.002 Å, b = 3.002 Å, c = 7.482 Å, α = 90.00°, β = 90.00° and γ = 90.00°. Symmetry generates all atoms from Zr at (0.000, 0.000, 0.000), Zr at (0.500, 0.500, 0.359), Mn at (0.000, 0.000, 0.613) and P at (0.500, 0.500, 0.748).

The formation energy is -0.3343 eV/atom.



Entry 18:
Here is a relaxed Pm2MnSi4Ni3 crystal from Alexandria via LeMat-Bulk. Energies are from GGA-PBE.

It has space group P-4m2 (No. 115), with a = 4.009 Å, b = 4.009 Å, c = 9.813 Å, α = 90.00°, β = 90.00° and γ = 90.00°. Symmetry generates all atoms from Pm at (0.000, 0.500, 0.243), Mn at (0.000, 0.000, 0.500), Si at (0.000, 0.000, 0.000), Si at (0.000, 0.500, 0.636), Si at (0.500, 0.500, 0.000), Ni at (0.000, 0.500, 0.879) and Ni at (0.500, 0.500, 0.500).

For the uncorrected formation energy, the calculation gives -71.89 kJ per mole of atoms.



Entry 19:
Here is a relaxed Nd4YN4 crystal from Alexandria via LeMat-Bulk. Energies are from GGA-PBE.

It has space group C2/m (No. 12), with a = 12.083 Å, b = 3.612 Å, c = 8.993 Å, α = 90.00°, β = 120.19° and γ = 90.00°. Symmetry generates all atoms from Nd at (0.105, 0.000, 0.382), Nd at (0.205, 0.500, 0.812), Y at (0.000, 0.500, 0.000), N at (0.099, 0.000, 0.908) and N at (0.194, 0.500, 0.297).

For the uncorrected formation energy, the calculation gives -122.62 kJ per mole of atoms.



Entry 20:
Here is a relaxed RbLiBeO2 crystal from Alexandria via LeMat-Bulk. Energies are from GGA-PBE.

It has space group C2/m (No. 12), with a = 10.155 Å, b = 3.159 Å, c = 7.704 Å, α = 90.00°, β = 100.83° and γ = 90.00°. Symmetry generates all atoms from Rb at (0.153, 0.000, 0.145), Li at (0.183, 0.000, 0.549), Be at (0.044, 0.500, 0.642), O at (0.097, 0.000, 0.747) and O at (0.114, 0.500, 0.449).

For the uncorrected formation energy, the calculation gives -181.78 kJ per mole of atoms.